Material: Mg2MnRu
Method: DFT, PBE
State: optimized geometry

Properties
Symmetry = No. 6
E_form = 0.168 eV per atom
Calculated density = 5.184 g/cm³
Energy = -20.96 eV for the cell shown
DOS at the Fermi energy = 4.0 states/eV/f.u.
Distance to the lowest polymorph of the same formula = 118 meV per atom
Size of the total moment = 3.633 μB per formula unit

Cell: 4.2446 2.8477 5.6273 Å, 74.49 90.00 90.00°
Last column: nearest neighbours and their distance in Å.
Positions (direct):
Mg (0.5000, 0.2693, 0.2688)  2 Ru 2.71-2.91, 4 Mn 2.79-3.01, 4 Mg 2.85-2.94
Mg (0.0000, 0.9815, 0.9742)  1 Mn 2.65, 2 Ru 2.75, 4 Mg 2.85-2.94
Mn (0.0000, 0.5601, 0.5195)  2 Ru 2.53, 3 Mg 2.65-2.79
Ru (0.5000, 0.6891, 0.7376)  2 Mn 2.53, 3 Mg 2.71-2.75